# 1
A geometry-optimized Li6Ag12Sn structure. Source: Alexandria via LeMat-Bulk, functional PBE-GGA.

Computed properties:
total moment = 0.000 μB per atom
calculated total energy = -2.725 eV per atom
SG = No. 148

Cell: 6.945 6.945 6.945 Å, 89.61 89.61 89.61°
Atoms (fractional coordinates):
Li  0.219  0.772  0.615
Li  0.228  0.385  0.781
Li  0.385  0.781  0.228
Li  0.615  0.219  0.772
Li  0.772  0.615  0.219
Li  0.781  0.228  0.385
Ag  0.027  0.937  0.302
Ag  0.063  0.698  0.973
Ag  0.126  0.480  0.338
Ag  0.302  0.027  0.937
Ag  0.338  0.126  0.480
Ag  0.480  0.338  0.126
Ag  0.520  0.662  0.874
Ag  0.662  0.874  0.520
Ag  0.698  0.973  0.063
Ag  0.874  0.520  0.662
Ag  0.937  0.302  0.027
Ag  0.973  0.063  0.698
Sn  0.500  0.500  0.500



# 2
A geometry-optimized RbBa2Ga structure. Source: Alexandria via LeMat-Bulk, functional PBE-GGA.

Computed properties:
total moment = 0.000 μB per atom
calculated total energy = -1.994 eV per atom
SG = No. 166

Cell: 13.673 13.673 13.673 Å, 19.11 19.11 19.11°
Atoms (fractional coordinates):
Rb  0.000  0.000  0.000
Ba  0.113  0.113  0.113
Ba  0.887  0.887  0.887
Ga  0.500  0.500  0.500



# 3
A geometry-optimized LaGa2CuO structure. Source: Alexandria via LeMat-Bulk, functional PBE-GGA.

Computed properties:
total moment = 0.000 μB per atom
uncorrected formation energy = -149 kJ/mol of formula units
SG = No. 123

Cell: 5.054 5.054 3.825 Å, 90.00 90.00 90.00°
Atoms (fractional coordinates):
La  0.000  0.000  0.000
Ga  0.000  0.500  0.500
Ga  0.500  0.000  0.500
Cu  0.500  0.500  0.500
O  0.500  0.500  0.000



What did the second record say?
A geometry-optimized RbBa2Ga structure. Source: Alexandria via LeMat-Bulk, functional PBE-GGA.

Computed properties:
total moment = 0.000 μB per atom
calculated total energy = -1.994 eV per atom
SG = No. 166

Cell: 13.673 13.673 13.673 Å, 19.11 19.11 19.11°
Atoms (fractional coordinates):
Rb  0.000  0.000  0.000
Ba  0.113  0.113  0.113
Ba  0.887  0.887  0.887
Ga  0.500  0.500  0.500